Density functional theory data (meta-GGA SCAN) for a PBEsol-optimized structure of Cu4Pt5.

Cell lengths 4.6436, 4.6466, 5.9507 Å; angles 75.18, 83.02, 80.62 degrees
Sites, in units of the cell vectors:
Cu 0.0000 0.0000 0.0000
Cu 0.1101 0.5466 0.7878
Cu 0.2242 0.1108 0.5696
Cu 0.6741 0.3285 0.6785
Pt 0.3368 0.6582 0.3521
Pt 0.4471 0.2200 0.1125
Pt 0.5463 0.7800 0.8924
Pt 0.7883 0.8848 0.4640
Pt 0.8955 0.4405 0.2303

Results
The calculation puts the distance to the lowest polymorph of the same formula at 0.048 eV/f.u. For the size of the total moment, the calculation gives 0.00 μB/f.u. The calculation puts the formation energy at -11 kJ per mole of atoms. The density of states at the Fermi level comes out at 7.44 states/eV/f.u.